# YCrAg2O (GGA+U, relaxed)
# * total energy: -25.79 eV per formula unit
data_YCrAg2O
_chemical_formula_sum 'Y1 Cr1 Ag2 O1'
_cell_length_a 5.3479
_cell_length_b 5.3479
_cell_length_c 3.6572
_cell_angle_alpha 90.00
_cell_angle_beta 90.00
_cell_angle_gamma 90.00
_symmetry_space_group_name_H-M 'P 4/m m m'
_symmetry_Int_Tables_number 123
_symmetry_space_group_name_Hall '-P 4 2'
loop_
_atom_site_label
_atom_site_type_symbol
_atom_site_fract_x
_atom_site_fract_y
_atom_site_fract_z
Y1 Y 0.0000 0.0000 0.0000
Cr1 Cr 0.5000 0.5000 0.5000
Ag1 Ag 0.0000 0.5000 0.5000
O1 O 0.5000 0.5000 0.0000